(1)
Material: TlP5
Method: DFT, GGA-PBE
State: optimized geometry

Summary:
Spin magnetization = 0.000 μB/atom
Energy = -28.1 eV per cell
Energy of formation = 222 meV per atom
D(E_F) = 2.13 states/eV/cell
Calculated volume = 129 Å³/cell

Lattice parameters (Å, degrees): 4.5744 8.7917 8.7917 21.35 90.00 90.00
Atoms (fractional coordinates):
Tl 0.0000 0.0000 0.0000
P 0.0000 0.3237 0.3237
P 0.0000 0.7346 0.7346
P 0.5000 0.1149 0.1149
P 0.5000 0.3677 0.3677
P 0.5000 0.6992 0.6992

(2)
Material: Ce3TmPa2P6
Method: DFT, GGA-PBE
State: optimized geometry

Summary:
Spin magnetization = 0.117 μB/atom
Energy = -91.2 eV per cell
Energy of formation = -1458 meV per atom
D(E_F) = 17.60 states/eV/cell
Calculated volume = 276 Å³/cell

Lattice parameters (Å, degrees): 6.9522 6.9522 6.9837 99.55 99.55 120.01
Atoms (fractional coordinates):
Ce 0.0000 0.0000 0.0000
Ce 0.3338 0.6662 0.0000
Ce 0.6662 0.3338 0.0000
Tm 0.5000 0.5000 0.5000
Pa 0.1665 0.8335 0.5000
Pa 0.8335 0.1665 0.5000
P 0.0859 0.4203 0.2606
P 0.2460 0.2460 0.7401
P 0.4203 0.0859 0.2606
P 0.5797 0.9141 0.7394
P 0.7540 0.7540 0.2599
P 0.9141 0.5797 0.7394

(3)
Material: Nb2CuSb
Method: DFT, GGA-PBE
State: optimized geometry

Summary:
Spin magnetization = 0.000 μB/atom
Energy = -53.7 eV per cell
D(E_F) = 3.13 states/eV/cell
Calculated volume = 151 Å³/cell
Formation energy (no corrections) = 0.381 eV/atom

Lattice parameters (Å, degrees): 10.1734 10.1734 10.1734 157.77 157.77 31.65
Atoms (fractional coordinates):
Nb 0.1234 0.6250 0.9984
Nb 0.3750 0.3734 0.4984
Nb 0.6266 0.1250 0.0016
Nb 0.8750 0.8766 0.5016
Cu 0.0000 0.0000 0.0000
Cu 0.7500 0.2500 0.5000
Sb 0.2500 0.7500 0.5000
Sb 0.5000 0.5000 0.0000

(4)
Material: HfScPd2
Method: DFT, GGA-PBE
State: optimized geometry

Summary:
Spin magnetization = 0.000 μB/atom
Energy = -26.7 eV per cell
Energy of formation = 3 meV per atom
D(E_F) = 2.46 states/eV/cell
Calculated volume = 78 Å³/cell

Lattice parameters (Å, degrees): 5.9001 5.9001 5.9001 151.02 127.91 60.71
Atoms (fractional coordinates):
Hf 0.0000 0.0000 0.0000
Sc 0.5000 0.5000 0.0000
Pd 0.2483 0.2483 0.0000
Pd 0.7517 0.7517 0.0000

(5)
Material: Cu2TcAu
Method: DFT, GGA-PBE
State: optimized geometry

Summary:
Spin magnetization = 0.000 μB/atom
Energy = -20.8 eV per cell
Energy of formation = 250 meV per atom
D(E_F) = 3.41 states/eV/cell
Calculated volume = 58 Å³/cell

Lattice parameters (Å, degrees): 4.6024 4.6024 4.9711 97.48 97.48 33.49
Atoms (fractional coordinates):
Cu 0.2472 0.2472 0.2303
Cu 0.7528 0.7528 0.7697
Tc 0.5000 0.5000 0.0000
Au 0.0000 0.0000 0.5000

(6)
Material: HoTm2Pa
Method: DFT, GGA-PBE
State: optimized geometry

Summary:
Spin magnetization = 0.000 μB/atom
Energy = -21.9 eV per cell
Energy of formation = 267 meV per atom
D(E_F) = 5.68 states/eV/cell
Calculated volume = 114 Å³/cell

Lattice parameters (Å, degrees): 12.2343 12.2343 12.2343 15.51 15.51 15.51
Atoms (fractional coordinates):
Ho 0.0000 0.0000 0.0000
Tm 0.4122 0.4122 0.4122
Tm 0.5878 0.5878 0.5878
Pa 0.5000 0.5000 0.5000

(7)
Material: TbNd6Sm3Y2
Method: DFT, GGA-PBE
State: optimized geometry

Summary:
Spin magnetization = 0.000 μB/atom
Energy = -60.2 eV per cell
Energy of formation = 11 meV per atom
D(E_F) = 15.59 states/eV/cell
Calculated volume = 409 Å³/cell

Lattice parameters (Å, degrees): 6.3197 6.3197 12.0058 95.03 95.03 120.01
Atoms (fractional coordinates):
Tb 0.0000 0.0000 0.0000
Nd 0.0832 0.4158 0.2483
Nd 0.2495 0.2495 0.7517
Nd 0.4158 0.0832 0.2483
Nd 0.5842 0.9168 0.7517
Nd 0.7505 0.7505 0.2483
Nd 0.9168 0.5842 0.7517
Sm 0.1667 0.8333 0.5000
Sm 0.5000 0.5000 0.5000
Sm 0.8333 0.1667 0.5000
Y 0.3334 0.6666 0.0000
Y 0.6666 0.3334 0.0000

(8)
Material: LiAc5Pb6
Method: DFT, GGA-PBE
State: optimized geometry

Summary:
Spin magnetization = 0.000 μB/atom
Energy = -50.1 eV per cell
Energy of formation = -449 meV per atom
D(E_F) = 8.41 states/eV/cell
Calculated volume = 411 Å³/cell

Lattice parameters (Å, degrees): 9.8503 9.8503 5.3009 105.58 105.58 113.45
Atoms (fractional coordinates):
Li 0.0000 0.0000 0.0000
Ac 0.1507 0.8493 0.5000
Ac 0.3297 0.6703 0.0000
Ac 0.5000 0.5000 0.5000
Ac 0.6703 0.3297 0.0000
Ac 0.8493 0.1507 0.5000
Pb 0.0839 0.4133 0.2486
Pb 0.2475 0.2475 0.7472
Pb 0.4133 0.0839 0.2486
Pb 0.5867 0.9161 0.7514
Pb 0.7525 0.7525 0.2528
Pb 0.9161 0.5867 0.7514